# 1
A plane-wave DFT calculation with PBE was carried out for a relaxed structure of MgSiIr2.

raw formation energy = 4 kJ/mol of atoms
symmetry = F-43m

a b c (Å): 4.384 4.384 4.384
angles (deg): 60.00 60.00 60.00
Sites, in units of the cell vectors:
Mg  0.000  0.000  0.000
Si  0.750  0.750  0.750
Ir  0.250  0.250  0.250
Ir  0.500  0.500  0.500

=====

# 2
A plane-wave DFT calculation with PBE was carried out for a relaxed structure of SnI.

raw formation energy = 28 kJ/mol of atoms
symmetry = I-43m

a b c (Å): 8.955 8.955 8.955
angles (deg): 109.47 109.47 109.47
Sites, in units of the cell vectors:
Sn  0.000  0.000  0.670
Sn  0.000  0.670  0.000
Sn  0.330  0.330  0.330
Sn  0.670  0.000  0.000
I  0.000  0.000  0.279
I  0.000  0.279  0.000
I  0.279  0.000  0.000
I  0.721  0.721  0.721

=====

# 3
A plane-wave DFT calculation with PBE was carried out for a relaxed structure of Nb6ReRu.

energy of formation = -179 meV per atom
symmetry = R-3

a b c (Å): 5.182 5.182 5.182
angles (deg): 89.95 89.95 89.95
Sites, in units of the cell vectors:
Nb  0.000  0.250  0.500
Nb  0.000  0.750  0.500
Nb  0.250  0.500  0.000
Nb  0.500  0.000  0.250
Nb  0.500  0.000  0.750
Nb  0.750  0.500  0.000
Re  0.500  0.500  0.500
Ru  0.000  0.000  0.000

=====

Number 1: mass density 12.17 g/cm3, magnetization 0.00 μB/f.u.. Number 2: mass density 2.95 g/cm3, magnetization 0.53 μB/f.u.. Number 3: mass density 10.08 g/cm3, magnetization 0.00 μB/f.u..